(i)
A geometry-optimized YTiNb3 structure. Source: Alexandria, functional PBE.

Properties
Symmetry: Pm-3m
Theoretical density, Mg/m³: 6.143

Cell: 4.8248 4.8248 4.8248 Å, 90.00 90.00 90.00°
Closest atoms and distances in Å follow each position.
Sites, in units of the cell vectors:
Ti: 0.0000 0.0000 0.0000  6 Nb 2.41
Y: 0.5000 0.5000 0.5000  12 Nb 3.41
Nb: 0.5000 0.0000 0.0000  2 Ti 2.41
Nb: 0.0000 0.5000 0.0000  2 Ti 2.41
Nb: 0.0000 0.0000 0.5000  2 Ti 2.41



(ii)
A geometry-optimized YTiNb3 structure. Source: Alexandria, functional PBE.

Properties
Symmetry: Pm-3m
Theoretical density, Mg/m³: 5.829

Cell: 4.9098 4.9098 4.9098 Å, 90.00 90.00 90.00°
Closest atoms and distances in Å follow each position.
Sites, in units of the cell vectors:
Nb: 0.5000 0.0000 0.0000  2 Y 2.45
Nb: 0.0000 0.0000 0.5000  2 Y 2.45
Y: 0.0000 0.0000 0.0000  6 Nb 2.45
Ti: 0.5000 0.5000 0.5000  12 Nb 3.47
Nb: 0.0000 0.5000 0.0000  2 Y 2.45



Which of them is the most stable, and which is the least stable? (i) and (ii), in that order.



(i)
A geometry-optimized Y3TiNb structure. Source: Alexandria, functional PBE.

Properties
Symmetry: Pm-3m
Theoretical density, Mg/m³: 4.368

Cell: 5.3706 5.3706 5.3706 Å, 90.00 90.00 90.00°
Closest atoms and distances in Å follow each position.
Sites, in units of the cell vectors:
Ti: 0.5000 0.5000 0.5000  12 Y 3.80
Y: 0.0000 0.5000 0.0000  2 Nb 2.69
Y: 0.5000 0.0000 0.0000  2 Nb 2.69
Y: 0.0000 0.0000 0.5000  2 Nb 2.69
Nb: 0.0000 0.0000 0.0000  6 Y 2.69



(ii)
A geometry-optimized Y3TiNb structure. Source: Alexandria, functional PBE.

Properties
Symmetry: Pm-3m
Theoretical density, Mg/m³: 4.763

Cell: 5.2179 5.2179 5.2179 Å, 90.00 90.00 90.00°
Closest atoms and distances in Å follow each position.
Sites, in units of the cell vectors:
Y: 0.0000 0.5000 0.0000  2 Ti 2.61
Ti: 0.0000 0.0000 0.0000  6 Y 2.61
Y: 0.5000 0.0000 0.0000  2 Ti 2.61
Y: 0.0000 0.0000 0.5000  2 Ti 2.61
Nb: 0.5000 0.5000 0.5000  12 Y 3.69



Which of them is the most stable, and which is the least stable? (i) and (ii), in that order.



(i)
A geometry-optimized YTi2Nb structure. Source: Alexandria, functional PBE.

Properties
Symmetry: P4/mmm
Theoretical density, Mg/m³: 5.517

Cell: 3.4615 3.4615 6.9721 Å, 90.00 90.00 90.00°
Closest atoms and distances in Å follow each position.
Sites, in units of the cell vectors:
Nb: 0.5000 0.5000 0.0000  8 Ti 2.80
Ti: 0.0000 0.0000 0.1957  1 Ti 2.73, 4 Nb 2.80
Ti: 0.0000 0.0000 0.8043  1 Ti 2.73, 4 Nb 2.80
Y: 0.5000 0.5000 0.5000  8 Ti 3.24, 4 Y 3.46, 2 Nb 3.49



(ii)
A geometry-optimized YTi2Nb structure. Source: Alexandria, functional PBE.

Properties
Symmetry: I-42d
Theoretical density, Mg/m³: 5.365

Cell: 4.1712 4.1712 10.3057 Å, 78.32 78.32 90.00°
Closest atoms and distances in Å follow each position.
Sites, in units of the cell vectors:
Y: 0.5000 0.5000 0.0000  4 Ti 2.91, 4 Nb 2.95
Ti: 0.8750 0.8978 0.7500  4 Ti 2.82-3.09, 2 Nb 2.84, 2 Y 2.91
Nb: 0.0000 0.0000 0.0000  4 Ti 2.84, 4 Y 2.95
Ti: 0.3750 0.3522 0.7500  4 Ti 2.82-3.09, 2 Nb 2.84, 2 Y 2.91
Ti: 0.6478 0.1250 0.2500  4 Ti 2.82-3.09, 2 Nb 2.84, 2 Y 2.91
Y: 0.2500 0.7500 0.5000  4 Ti 2.91, 4 Nb 2.95
Ti: 0.1022 0.6250 0.2500  4 Ti 2.82-3.09, 2 Nb 2.84, 2 Y 2.91
Nb: 0.7500 0.2500 0.5000  4 Ti 2.84, 4 Y 2.95



Which of them is the most stable, and which is the least stable? (i) and (ii), in that order.